(1)
# ZrCoRu

ZrCoRu after structural relaxation (GGA-PBE, the Alexandria database).

abc: 3.240 3.240 9.011
angles: 90.00 90.00 90.00
Space group I4mm (No. 107)
Inequivalent atoms, fractional coordinates:
Zr 0.000 0.000 0.000 x2
Co 0.000 0.000 0.673 x2
Ru 0.000 0.000 0.327 x2

## Properties
* total magnetic moment: 2.225 μB per formula unit
* Fermi-level density of states: 1.169 states/eV/atom
* offset from the most stable computed form: 34 meV per atom

(2)
# IrSe4

IrSe4 after structural relaxation (GGA-PBE, the Alexandria database).

abc: 4.891 4.891 4.891
angles: 90.00 90.00 90.00
Space group Pm-3m (No. 221)
Inequivalent atoms, fractional coordinates:
Ir 0.000 0.000 0.000 x1
Se 0.000 0.000 0.500 x3
Se 0.500 0.500 0.500 x1

## Properties
* total magnetic moment: 0.000 μB per formula unit
* Fermi-level density of states: 1.315 states/eV/atom
* offset from the most stable computed form: 585 meV per atom